1.
Density functional theory data (PBEsol) for NiWCl2 after structural relaxation.

The structure belongs to space group Fm-3m (No. 225); the cell edges are 5.9765, 5.9765 and 5.9765 Å and the angles 90.00°, 90.00° and 90.00°. The distinct sites, in fractional coordinates, are Ni at (0.0000, 0.0000, 0.0000), W at (0.0000, 0.0000, 0.5000) and Cl at (0.2500, 0.2500, 0.2500).

As for the density: 9.753 Mg/m³.


2.
Density functional theory data (PBEsol) for NiWCl2 after structural relaxation.

The structure belongs to space group Immm (No. 71); the cell edges are 2.8639, 4.2120 and 13.1215 Å and the angles 90.00°, 90.00° and 90.00°. The distinct sites, in fractional coordinates, are Ni at (0.0000, 0.0000, 0.0000), W at (0.0000, 0.0000, 0.5000) and Cl at (0.0000, 0.5000, 0.1493).

As for the density: 6.577 Mg/m³.


Which is the most stable structure? 2 is the most stable.


1.
Density functional theory data (PBEsol) for NiW2Cl after structural relaxation.

The structure belongs to space group P4mm (No. 99); the cell edges are 2.7764, 2.7764 and 8.1211 Å and the angles 90.00°, 90.00° and 90.00°. The distinct sites, in fractional coordinates, are Ni at (0.0000, 0.0000, 0.0000), W at (0.0000, 0.0000, 0.4593), W at (0.5000, 0.5000, 0.1975) and Cl at (0.5000, 0.5000, 0.6636).

As for the density: 12.250 Mg/m³.


2.
Density functional theory data (PBEsol) for NiW2Cl after structural relaxation.

The structure belongs to space group Cmmm (No. 65); the cell edges are 2.9772, 4.5672 and 8.5704 Å and the angles 90.00°, 90.00° and 90.00°. The distinct sites, in fractional coordinates, are Ni at (0.0000, 0.0000, 0.0000), W at (0.0000, 0.5000, 0.2392) and Cl at (0.0000, 0.0000, 0.5000).

As for the density: 13.161 Mg/m³.


Which is the most stable structure? 1 is the most stable.


1.
Density functional theory data (PBEsol) for YNiCl2 after structural relaxation.

The structure belongs to space group I4/mmm (No. 139); the cell edges are 4.3291, 4.3291 and 7.4162 Å and the angles 90.00°, 90.00° and 90.00°. The distinct sites, in fractional coordinates, are Y at (0.0000, 0.0000, 0.0000), Ni at (0.0000, 0.0000, 0.5000) and Cl at (0.0000, 0.5000, 0.2500).

As for the density: 5.221 Mg/m³.


2.
Density functional theory data (PBEsol) for YNiCl2 after structural relaxation.

The structure belongs to space group P4mm (No. 99); the cell edges are 3.3616, 3.3616 and 7.0990 Å and the angles 90.00°, 90.00° and 90.00°. The distinct sites, in fractional coordinates, are Y at (0.0000, 0.0000, 0.0000), Ni at (0.5000, 0.5000, 0.7735), Cl at (0.0000, 0.0000, 0.6341) and Cl at (0.5000, 0.5000, 0.2322).

As for the density: 4.523 Mg/m³.


Which is the most stable structure? 2 is the most stable.


1.
Density functional theory data (PBEsol) for ZnNi2Cl after structural relaxation.

The structure belongs to space group R-3m (No. 166, hexagonal axes); the cell edges are 2.8545, 2.8545 and 21.6028 Å and the angles 90.00°, 90.00° and 120.00°. The distinct sites, in fractional coordinates, are Zn at (0.0000, 0.0000, 0.0000), Ni at (0.0000, 0.0000, 0.2479) and Cl at (0.0000, 0.0000, 0.5000).

As for the density: 7.132 Mg/m³.


2.
Density functional theory data (PBEsol) for ZnNi2Cl after structural relaxation.

The structure belongs to space group P4mm (No. 99); the cell edges are 3.0666, 3.0666 and 5.9358 Å and the angles 90.00°, 90.00° and 90.00°. The distinct sites, in fractional coordinates, are Zn at (0.0000, 0.0000, 0.0000), Ni at (0.0000, 0.0000, 0.5845), Ni at (0.5000, 0.5000, 0.8096) and Cl at (0.5000, 0.5000, 0.4253).

As for the density: 6.493 Mg/m³.


Which is the most stable structure? 2 is the most stable.


1.
Density functional theory data (PBEsol) for ZnNiCl2 after structural relaxation.

The structure belongs to space group C2/m (No. 12); the cell edges are 6.2826, 6.7326 and 4.5936 Å and the angles 90.00°, 132.91° and 90.00°. The distinct sites, in fractional coordinates, are Zn at (0.0000, 0.0000, 0.0000), Ni at (0.0000, 0.5000, 0.0000) and Cl at (0.2500, 0.2500, 0.5000).

As for the density: 4.551 Mg/m³.


2.
Density functional theory data (PBEsol) for ZnNiCl2 after structural relaxation.

The structure belongs to space group Immm (No. 71); the cell edges are 3.2687, 3.7970 and 12.2484 Å and the angles 90.00°, 90.00° and 90.00°. The distinct sites, in fractional coordinates, are Zn at (0.0000, 0.0000, 0.0000), Ni at (0.0000, 0.0000, 0.5000) and Cl at (0.0000, 0.5000, 0.1393).

As for the density: 4.260 Mg/m³.


Which is the most stable structure? 2 is the most stable.


1.
Density functional theory data (PBEsol) for ZnNiCl2 after structural relaxation.

The structure belongs to space group Cmm2 (No. 35); the cell edges are 3.1851, 5.9765 and 8.1688 Å and the angles 90.00°, 90.00° and 90.00°. The distinct sites, in fractional coordinates, are Zn at (0.0000, 0.0000, 0.0000), Ni at (0.0000, 0.5000, 0.7744), Cl at (0.0000, 0.0000, 0.6001) and Cl at (0.0000, 0.5000, 0.1997).

As for the density: 4.165 Mg/m³.


2.
Density functional theory data (PBEsol) for ZnNiCl2 after structural relaxation.

The structure belongs to space group Imm2 (No. 44); the cell edges are 3.0482, 3.4836 and 13.8365 Å and the angles 90.00°, 90.00° and 90.00°. The distinct sites, in fractional coordinates, are Zn at (0.0000, 0.0000, 0.0000), Ni at (0.0000, 0.5000, 0.3580), Cl at (0.0000, 0.0000, 0.5852) and Cl at (0.0000, 0.5000, 0.8252).

As for the density: 4.408 Mg/m³.


Which is the most stable structure? 1 is the most stable.


1.
Density functional theory data (PBEsol) for ZrNiCl3 after structural relaxation.

The structure belongs to space group Pm-3m (No. 221); the cell edges are 4.5153, 4.5153 and 4.5153 Å and the angles 90.00°, 90.00° and 90.00°. The distinct sites, in fractional coordinates, are Zr at (0.0000, 0.0000, 0.0000), Ni at (0.5000, 0.5000, 0.5000) and Cl at (0.0000, 0.5000, 0.5000).

As for the density: 4.623 Mg/m³.


2.
Density functional theory data (PBEsol) for ZrNiCl3 after structural relaxation.

The structure belongs to space group Pm-3m (No. 221); the cell edges are 4.9300, 4.9300 and 4.9300 Å and the angles 90.00°, 90.00° and 90.00°. The distinct sites, in fractional coordinates, are Zr at (0.0000, 0.0000, 0.0000), Ni at (0.5000, 0.5000, 0.5000) and Cl at (0.0000, 0.0000, 0.5000).

As for the density: 3.551 Mg/m³.


Which is the most stable structure? 2 is the most stable.


1.
Density functional theory data (PBEsol) for P2RhClO after structural relaxation.

The structure belongs to space group P4/mmm (No. 123); the cell edges are 4.4381, 4.4381 and 4.8644 Å and the angles 90.00°, 90.00° and 90.00°. The distinct sites, in fractional coordinates, are P at (0.0000, 0.5000, 0.0000), Rh at (0.0000, 0.0000, 0.0000), Cl at (0.0000, 0.0000, 0.5000) and O at (0.5000, 0.5000, 0.5000).

As for the density: 3.749 Mg/m³.


2.
Density functional theory data (PBEsol) for P2RhClO after structural relaxation.

The structure belongs to space group P4/mmm (No. 123); the cell edges are 4.7154, 4.7154 and 3.6979 Å and the angles 90.00°, 90.00° and 90.00°. The distinct sites, in fractional coordinates, are P at (0.0000, 0.5000, 0.0000), Rh at (0.0000, 0.0000, 0.0000), Cl at (0.5000, 0.5000, 0.5000) and O at (0.0000, 0.0000, 0.5000).

As for the density: 4.368 Mg/m³.


Which is the most stable structure? 2 is the most stable.